First-principles (PBEsol) data for a relaxed Mg5Cr crystal, as listed in the Alexandria database.

Calculated values
Calculated volume: 20.75 Å³ per atom
Calculated formation energy: 0.234 eV/atom
SG: Cmmm

Cell lengths 6.875, 6.875, 4.366 Å; angles 90.00, 90.00, 142.89 degrees
Sites, in units of the cell vectors:
Mg (0.000, 0.000, 0.000)
Mg (0.161, 0.839, 0.500)
Mg (0.340, 0.660, 0.000)
Mg (0.660, 0.340, 0.000)
Mg (0.839, 0.161, 0.500)
Cr (0.500, 0.500, 0.500)

First-principles (PBEsol) data for a relaxed CdMo2Se crystal, as listed in the Alexandria database.

Calculated values
Calculated volume: 17.03 Å³ per atom
Uncorrected formation energy: 0.702 eV/atom
ΔE to the lowest computed polymorph: 54.99 kJ per mole of atoms
SG: I4/mmm

Cell lengths 5.317, 5.317, 5.317 Å; angles 137.37, 137.37, 61.86 degrees
Sites, in units of the cell vectors:
Cd (0.000, 0.000, 0.000)
Mo (0.250, 0.750, 0.500)
Mo (0.750, 0.250, 0.500)
Se (0.500, 0.500, 0.000)

First-principles (PBEsol) data for a relaxed Li2TlHg crystal, as listed in the Alexandria database.

Calculated values
Calculated volume: 19.50 Å³ per atom
Calculated formation energy: -0.279 eV/atom
SG: P4mm

Cell lengths 3.562, 3.562, 6.146 Å; angles 90.00, 90.00, 90.00 degrees
Sites, in units of the cell vectors:
Li (0.000, 0.000, 0.000)
Li (0.500, 0.500, 0.264)
Tl (0.000, 0.000, 0.492)
Hg (0.500, 0.500, 0.812)

First-principles (PBEsol) data for a relaxed ZrTeIrI2 crystal, as listed in the Alexandria database.

Calculated values
Calculated volume: 28.21 Å³ per atom
Uncorrected formation energy: 0.599 eV/atom
SG: P4/mmm

Cell lengths 5.204, 5.204, 5.210 Å; angles 90.00, 90.00, 90.00 degrees
Sites, in units of the cell vectors:
Zr (0.000, 0.000, 0.000)
Te (0.500, 0.500, 0.000)
Ir (0.500, 0.500, 0.500)
I (0.000, 0.500, 0.500)
I (0.500, 0.000, 0.500)

First-principles (PBEsol) data for a relaxed Zr2V6Sb9 crystal, as listed in the Alexandria database.

Calculated values
Calculated volume: 19.44 Å³ per atom
Uncorrected formation energy: -0.331 eV/atom
SG: P4/nmm

Cell lengths 9.619, 9.619, 7.143 Å; angles 90.00, 90.00, 90.00 degrees
Sites, in units of the cell vectors:
Zr (0.250, 0.250, 0.084)
Zr (0.250, 0.250, 0.585)
Zr (0.750, 0.750, 0.415)
Zr (0.750, 0.750, 0.916)
V (0.000, 0.000, 0.000)
V (0.000, 0.500, 0.000)
V (0.112, 0.750, 0.843)
V (0.250, 0.612, 0.157)
V (0.250, 0.888, 0.157)
V (0.388, 0.750, 0.843)
V (0.500, 0.000, 0.000)
V (0.500, 0.500, 0.000)
V (0.612, 0.250, 0.157)
V (0.750, 0.112, 0.843)
V (0.750, 0.388, 0.843)
V (0.888, 0.250, 0.157)
Sb (0.002, 0.250, 0.815)
Sb (0.077, 0.077, 0.346)
Sb (0.077, 0.423, 0.346)
Sb (0.250, 0.002, 0.815)
Sb (0.250, 0.498, 0.815)
Sb (0.250, 0.750, 0.500)
Sb (0.423, 0.077, 0.346)
Sb (0.423, 0.423, 0.346)
Sb (0.498, 0.250, 0.815)
Sb (0.502, 0.750, 0.185)
Sb (0.577, 0.577, 0.654)
Sb (0.577, 0.923, 0.654)
Sb (0.750, 0.250, 0.500)
Sb (0.750, 0.502, 0.185)
Sb (0.750, 0.998, 0.185)
Sb (0.923, 0.577, 0.654)
Sb (0.923, 0.923, 0.654)
Sb (0.998, 0.750, 0.185)

First-principles (PBEsol) data for a relaxed Li2Ni crystal, as listed in the Alexandria database.

Calculated values
Calculated volume: 12.95 Å³ per atom
Calculated formation energy: 0.087 eV/atom
SG: Pnma

Cell lengths 5.004, 4.123, 7.531 Å; angles 90.00, 90.00, 90.00 degrees
Sites, in units of the cell vectors:
Li (0.103, 0.250, 0.122)
Li (0.204, 0.250, 0.788)
Li (0.296, 0.750, 0.288)
Li (0.397, 0.750, 0.622)
Li (0.603, 0.250, 0.378)
Li (0.704, 0.250, 0.712)
Li (0.796, 0.750, 0.212)
Li (0.897, 0.750, 0.878)
Ni (0.080, 0.250, 0.471)
Ni (0.420, 0.750, 0.971)
Ni (0.580, 0.250, 0.029)
Ni (0.920, 0.750, 0.529)

First-principles (PBEsol) data for a relaxed Y2O3 crystal, as listed in the Alexandria database.

Calculated values
Calculated volume: 14.64 Å³ per atom
Uncorrected formation energy: -3.636 eV/atom
SG: Ia-3

Cell lengths 9.128, 9.128, 9.128 Å; angles 109.47, 109.47, 109.47 degrees
Sites, in units of the cell vectors:
Y (0.000, 0.000, 0.500)
Y (0.000, 0.500, 0.000)
Y (0.033, 0.750, 0.783)
Y (0.217, 0.967, 0.250)
Y (0.250, 0.217, 0.967)
Y (0.250, 0.717, 0.467)
Y (0.283, 0.533, 0.750)
Y (0.467, 0.250, 0.717)
Y (0.500, 0.000, 0.000)
Y (0.500, 0.500, 0.500)
Y (0.533, 0.750, 0.283)
Y (0.717, 0.467, 0.250)
Y (0.750, 0.283, 0.533)
Y (0.750, 0.783, 0.033)
Y (0.783, 0.033, 0.750)
Y (0.967, 0.250, 0.217)
O (0.011, 0.042, 0.272)
O (0.031, 0.489, 0.761)
O (0.042, 0.272, 0.011)
O (0.228, 0.271, 0.739)
O (0.229, 0.458, 0.469)
O (0.239, 0.969, 0.511)
O (0.261, 0.772, 0.729)
O (0.271, 0.739, 0.228)
O (0.272, 0.011, 0.042)
O (0.458, 0.469, 0.229)
O (0.469, 0.229, 0.458)
O (0.489, 0.761, 0.031)
O (0.511, 0.239, 0.969)
O (0.531, 0.771, 0.542)
O (0.542, 0.531, 0.771)
O (0.728, 0.989, 0.958)
O (0.729, 0.261, 0.772)
O (0.739, 0.228, 0.271)
O (0.761, 0.031, 0.489)
O (0.771, 0.542, 0.531)
O (0.772, 0.729, 0.261)
O (0.958, 0.728, 0.989)
O (0.969, 0.511, 0.239)
O (0.989, 0.958, 0.728)

First-principles (PBEsol) data for a relaxed NbCoSb3 crystal, as listed in the Alexandria database.

Calculated values
Calculated volume: 22.53 Å³ per atom
Uncorrected formation energy: 0.717 eV/atom
SG: Pm-3m

Cell lengths 4.830, 4.830, 4.830 Å; angles 90.00, 90.00, 90.00 degrees
Sites, in units of the cell vectors:
Nb (0.000, 0.000, 0.000)
Co (0.500, 0.500, 0.500)
Sb (0.000, 0.500, 0.500)
Sb (0.500, 0.000, 0.500)
Sb (0.500, 0.500, 0.000)

First-principles (PBEsol) data for a relaxed RbRe2TeN crystal, as listed in the Alexandria database.

Calculated values
Calculated volume: 18.77 Å³ per atom
Uncorrected formation energy: 1.173 eV/atom
SG: P4/mmm

Cell lengths 4.089, 4.089, 5.614 Å; angles 90.00, 90.00, 90.00 degrees
Sites, in units of the cell vectors:
Rb (0.000, 0.000, 0.000)
Re (0.000, 0.500, 0.500)
Re (0.500, 0.000, 0.500)
Te (0.500, 0.500, 0.000)
N (0.500, 0.500, 0.500)

First-principles (PBEsol) data for a relaxed Li4Co5SnO12 crystal, as listed in the Alexandria database.

Calculated values
Calculated volume: 9.15 Å³ per atom
Uncorrected formation energy: -1.448 eV/atom
SG: C2/m

Cell lengths 4.937, 4.937, 9.671 Å; angles 94.88, 94.88, 119.95 degrees
Sites, in units of the cell vectors:
Li (0.078, 0.746, 0.740)
Li (0.254, 0.922, 0.260)
Li (0.746, 0.078, 0.740)
Li (0.922, 0.254, 0.260)
Co (0.000, 0.000, 0.500)
Co (0.167, 0.833, 0.000)
Co (0.335, 0.665, 0.500)
Co (0.665, 0.335, 0.500)
Co (0.833, 0.167, 0.000)
Sn (0.500, 0.500, 0.000)
O (0.027, 0.366, 0.599)
O (0.104, 0.104, 0.889)
O (0.178, 0.537, 0.111)
O (0.294, 0.294, 0.399)
O (0.366, 0.027, 0.599)
O (0.463, 0.822, 0.889)
O (0.537, 0.178, 0.111)
O (0.634, 0.973, 0.401)
O (0.706, 0.706, 0.601)
O (0.822, 0.463, 0.889)
O (0.896, 0.896, 0.111)
O (0.973, 0.634, 0.401)

First-principles (PBEsol) data for a relaxed HfScGe4 crystal, as listed in the Alexandria database.

Calculated values
Calculated volume: 17.47 Å³ per atom
Calculated formation energy: -0.623 eV/atom
SG: Amm2

Cell lengths 3.754, 7.595, 7.595 Å; angles 28.95, 90.00, 90.00 degrees
Sites, in units of the cell vectors:
Hf (0.000, 0.000, 0.000)
Sc (0.500, 0.206, 0.206)
Ge (0.000, 0.354, 0.354)
Ge (0.000, 0.664, 0.664)
Ge (0.500, 0.544, 0.544)
Ge (0.500, 0.854, 0.854)

First-principles (PBEsol) data for a relaxed La2Mn3Cu9P7 crystal, as listed in the Alexandria database.

Calculated values
Calculated volume: 13.88 Å³ per atom
Calculated formation energy: -0.454 eV/atom
SG: P-6

Cell lengths 9.388, 9.388, 3.818 Å; angles 90.00, 90.00, 120.00 degrees
Sites, in units of the cell vectors:
La (0.000, 0.000, 0.000)
La (0.333, 0.667, 0.500)
Mn (0.461, 0.212, 0.000)
Mn (0.751, 0.539, 0.000)
Mn (0.788, 0.249, 0.000)
Cu (0.042, 0.283, 0.500)
Cu (0.089, 0.711, 0.000)
Cu (0.242, 0.958, 0.500)
Cu (0.289, 0.377, 0.000)
Cu (0.509, 0.453, 0.500)
Cu (0.547, 0.056, 0.500)
Cu (0.623, 0.911, 0.000)
Cu (0.717, 0.758, 0.500)
Cu (0.944, 0.491, 0.500)
P (0.073, 0.444, 0.000)
P (0.260, 0.216, 0.500)
P (0.371, 0.927, 0.000)
P (0.556, 0.629, 0.000)
P (0.667, 0.333, 0.500)
P (0.784, 0.044, 0.500)
P (0.956, 0.740, 0.500)